Compound: Zn3In12Te5
Source: the Alexandria database
Functional: PBE
Structure: optimized geometry

abc: 15.020 15.020 15.020
angles: 109.47 109.47 109.47
Sites, in units of the cell vectors:
1 Zn 0.750 0.375 0.125
2 Zn 0.875 0.750 0.125
3 Zn 0.375 0.750 0.625
4 Zn 0.250 0.125 0.375
5 Zn 0.875 0.125 0.250
6 Zn 0.375 0.625 0.250
7 Zn 0.625 0.375 0.750
8 Zn 0.125 0.875 0.750
9 Zn 0.750 0.875 0.625
10 Zn 0.625 0.250 0.375
11 Zn 0.125 0.250 0.875
12 Zn 0.250 0.625 0.875
13 Te 0.125 0.375 0.250
14 Te 0.000 0.500 0.000
15 Te 0.000 0.000 0.000
16 Te 0.375 0.250 0.125
17 Te 0.500 0.000 0.500
18 Te 0.500 0.500 0.000
19 Te 0.125 0.750 0.375
20 Te 0.750 0.125 0.875
21 Te 0.750 0.625 0.375
22 Te 0.375 0.125 0.750
23 Te 0.625 0.875 0.250
24 Te 0.500 0.500 0.500
25 Te 0.500 0.000 0.000
26 Te 0.000 0.000 0.500
27 Te 0.250 0.375 0.625
28 Te 0.250 0.875 0.125
29 Te 0.000 0.500 0.500
30 Te 0.875 0.250 0.625
31 Te 0.625 0.750 0.875
32 Te 0.875 0.625 0.750
33 In 0.743 0.135 0.076
34 In 0.333 0.576 0.442
35 In 0.924 0.365 0.257
36 In 0.576 0.243 0.135
37 In 0.609 0.743 0.667
38 In 0.924 0.558 0.167
39 In 0.333 0.757 0.391
40 In 0.058 0.891 0.135
41 In 0.558 0.924 0.667
42 In 0.743 0.609 0.167
43 In 0.757 0.424 0.365
44 In 0.833 0.942 0.076
45 In 0.135 0.743 0.576
46 In 0.365 0.442 0.109
47 In 0.109 0.942 0.365
48 In 0.391 0.135 0.558
49 In 0.109 0.167 0.243
50 In 0.424 0.667 0.058
51 In 0.833 0.891 0.257
52 In 0.135 0.391 0.058
53 In 0.365 0.924 0.757
54 In 0.558 0.635 0.391
55 In 0.942 0.833 0.576
56 In 0.757 0.333 0.891
57 In 0.442 0.365 0.609
58 In 0.058 0.167 0.424
59 In 0.243 0.667 0.109
60 In 0.167 0.109 0.743
61 In 0.635 0.076 0.243
62 In 0.865 0.609 0.942
63 In 0.576 0.333 0.942
64 In 0.609 0.865 0.442
65 In 0.891 0.833 0.757
66 In 0.891 0.058 0.635
67 In 0.865 0.257 0.424
68 In 0.167 0.058 0.924
69 In 0.635 0.558 0.891
70 In 0.442 0.076 0.333
71 In 0.257 0.391 0.833
72 In 0.243 0.576 0.635
73 In 0.942 0.109 0.865
74 In 0.667 0.243 0.609
75 In 0.424 0.757 0.865
76 In 0.076 0.442 0.833
77 In 0.391 0.257 0.333
78 In 0.076 0.635 0.743
79 In 0.667 0.424 0.558
80 In 0.257 0.865 0.924

The value obtained for the total energy is -2.5909 eV/atom. As for the space-group type: No. 230. As for the density of states at the Fermi level: 0.559 states/eV per atom. For the formation energy without anion corrections, the calculation gives 28.7 meV/atom.

---

Compound: KIN3
Source: the Alexandria database
Functional: PBE
Structure: optimized geometry

abc: 5.126 5.126 5.126
angles: 90.00 90.00 90.00
Each line ends with the local moment (μB).
Sites, in units of the cell vectors:
1 I 0.500 0.500 0.500  0.52
2 K 0.000 0.000 0.000  0.10
3 N 0.000 0.500 0.000  1.82
4 N 0.000 0.000 0.500  1.82
5 N 0.500 0.000 0.000  1.78

The value obtained for the total energy is -2.8489 eV/atom. As for the space-group type: No. 221. As for the density of states at the Fermi level: 0.001 states/eV per atom. For the formation energy without anion corrections, the calculation gives 2675.8 meV/atom.

---

Compound: HoEr3
Source: the Alexandria database
Functional: PBE
Structure: optimized geometry

abc: 3.583 6.196 6.609
angles: 117.96 105.73 90.00
Sites, in units of the cell vectors:
1 Ho 0.000 0.000 0.000
2 Er 0.250 0.583 0.500
3 Er 0.500 0.501 0.000
4 Er 0.750 0.083 0.500

The value obtained for the total energy is -4.5669 eV/atom. As for the space-group type: No. 44. As for the density of states at the Fermi level: 1.620 states/eV per atom. The calculated formation energy is 0.000 eV/atom.